Entry 1:
MoWSe2 | PBE | optimized geometry

POSCAR file:
```
MoWSe2
1.0
3.1946 0.0000 0.0000
0.0000 4.0898 0.0000
-0.1031 0.0000 5.3518
Mo W Se
1 1 2
Cartesian
0.0000 0.0000 0.0000
1.5457 0.0000 2.6759
0.8291 2.0449 1.3305
2.2623 2.0449 4.0213
```

Computed properties:
Energy relative to the elements, uncorrected (eV per formula unit): 2.83
Total magnetic moment (Bohr magnetons per cell): 0.00
Mass density (kg/m³): 10395
Excess energy over the best structure of this formula in the dataset (meV/atom): 864
Density of states at the Fermi level (states/eV/atom): 0.92
Symmetry: P2/m, No. 10

=====

Entry 2:
Mg4Ga2Ag5 | PBE | optimized geometry

POSCAR file:
```
Mg4Ga2Ag5
1.0
7.1967 0.0000 0.0000
0.0000 3.0182 0.0000
-0.5781 0.0000 9.4413
Mg Ga Ag
4 2 5
Cartesian
1.0078 0.0000 3.7484
1.5379 0.0000 8.8424
5.0807 0.0000 0.5989
5.6107 0.0000 5.6929
0.3605 1.5091 1.2685
6.2581 1.5091 8.1728
0.9617 1.5091 6.2953
2.9713 1.5091 1.8629
3.3093 1.5091 4.7206
3.6473 1.5091 7.5784
5.6568 1.5091 3.1460
```

Computed properties:
Total magnetic moment (Bohr magnetons per cell): 0.00
Formation enthalpy at 0 K (kJ/mol of formula units): -150
Mass density (kg/m³): 6283
Excess energy over the best structure of this formula in the dataset (meV/atom): 7
Density of states at the Fermi level (states/eV/atom): 0.24
Symmetry: P2/m, No. 10

=====

Entry 3:
ScSi2Ru | PBE | optimized geometry

POSCAR file:
```
ScSi2Ru
1.0
4.2991 -1.5611 0.0000
4.2991 1.5611 0.0000
-1.1054 0.0000 4.6717
Sc Si Ru
1 2 1
Cartesian
0.0000 0.0000 0.0000
1.2461 0.0000 3.2768
3.7014 0.0000 2.3166
6.1849 0.0000 1.5567
```

Computed properties:
Energy relative to the elements, uncorrected (eV per formula unit): -1.85
Total magnetic moment (Bohr magnetons per cell): 0.00
Mass density (kg/m³): 5354
Density of states at the Fermi level (states/eV/atom): 0.54
Symmetry: Cm, No. 8

=====

Entry 4:
MnNi2Br | PBE | optimized geometry

POSCAR file:
```
MnNi2Br
1.0
-1.5262 2.2153 4.2257
1.5262 -2.2153 4.2257
1.5262 2.2153 -4.2257
Mn Ni Br
1 2 1
Cartesian
0.0000 0.0000 0.0000
1.5262 0.0000 2.1278
0.0000 2.2153 2.0979
0.0000 0.0000 4.2257
```

Computed properties:
Energy relative to the elements, uncorrected (eV per formula unit): 1.94
Total magnetic moment (Bohr magnetons per cell): 4.74
Mass density (kg/m³): 7329
Excess energy over the best structure of this formula in the dataset (meV/atom): 264
Density of states at the Fermi level (states/eV/atom): 0.56
Symmetry: Immm, No. 71

=====

Entry 5:
TaNb3Al | PBE | optimized geometry

POSCAR file:
```
TaNb3Al
1.0
4.8828 0.0000 0.0000
0.0000 4.8828 0.0000
0.0000 0.0000 4.8828
Ta Nb Al
1 3 1
Cartesian
0.0000 0.0000 0.0000
0.0000 0.0000 2.4414
0.0000 2.4414 0.0000
2.4414 0.0000 0.0000
2.4414 2.4414 2.4414
```

Computed properties:
Total magnetic moment (Bohr magnetons per cell): 0.00
Formation enthalpy at 0 K (kJ/mol of formula units): 657
Mass density (kg/m³): 6942
Excess energy over the best structure of this formula in the dataset (meV/atom): 1465
Density of states at the Fermi level (states/eV/atom): 1.06
Symmetry: Pm-3m, No. 221

=====

Entry 6:
Dy3Tl2C | PBE | optimized geometry

POSCAR file:
```
Dy3Tl2C
1.0
5.2710 -4.3862 0.0000
5.2710 4.3862 0.0000
0.0000 0.0000 6.7298
Dy Tl C
6 4 2
Cartesian
5.2710 2.9965 5.0473
3.6754 0.0000 0.0000
3.6754 0.0000 3.3649
6.8666 0.0000 0.0000
6.8666 0.0000 3.3649
5.2710 -2.9965 1.6824
3.7790 2.8105 1.6824
6.7629 2.8105 1.6824
3.7790 -2.8105 5.0473
6.7629 -2.8105 5.0473
5.2710 0.7098 5.0473
5.2710 -0.7098 1.6824
```

Computed properties:
Total magnetic moment (Bohr magnetons per cell): 0.00
Formation enthalpy at 0 K (kJ/mol of formula units): -122
Mass density (kg/m³): 9694
Excess energy over the best structure of this formula in the dataset (meV/atom): 164
Density of states at the Fermi level (states/eV/atom): 0.67
Symmetry: Cmcm, No. 63

=====

Entry 7:
LaTb7Er3 | PBE | optimized geometry

POSCAR file:
```
LaTb7Er3
1.0
7.0804 0.0000 0.0000
-3.5402 6.1318 0.0000
0.0000 0.0000 8.6123
La Tb Er
1 7 3
Cartesian
0.0000 0.0000 0.0000
0.0000 2.0303 2.8481
-1.7819 5.1166 2.8481
3.5402 0.0157 8.5543
1.7837 3.0581 8.5543
3.5402 2.0439 2.8022
1.7819 5.1166 2.8481
5.2967 3.0581 8.5543
1.7804 1.0279 5.6765
5.3000 1.0279 5.6765
3.5402 4.0760 5.6765
```

Computed properties:
Total magnetic moment (Bohr magnetons per cell): 0.00
Formation enthalpy at 0 K (kJ/mol of formula units): 212
Mass density (kg/m³): 7786
Excess energy over the best structure of this formula in the dataset (meV/atom): 64
Density of states at the Fermi level (states/eV/atom): 1.61
Symmetry: P3m1, No. 156

=====

Entry 8:
PmBeCo | PBE | optimized geometry

POSCAR file:
```
PmBeCo
1.0
1.8258 -8.1932 0.0000
1.8258 8.1932 0.0000
0.0000 0.0000 3.7197
Pm Be Co
2 2 2
Cartesian
1.8258 6.4529 2.7898
1.8258 -6.4529 0.9299
1.8258 4.0937 0.9299
1.8258 -4.0937 2.7898
1.8258 2.8648 2.7898
1.8258 -2.8648 0.9299
```

Computed properties:
Total magnetic moment (Bohr magnetons per cell): 0.00
Formation enthalpy at 0 K (kJ/mol of formula units): -6
Mass density (kg/m³): 6355
Excess energy over the best structure of this formula in the dataset (meV/atom): 127
Density of states at the Fermi level (states/eV/atom): 0.77
Symmetry: Cmcm, No. 63